## Rb2VCr3F12 (PBE+U)

Data for Rb2VCr3F12 after structural relaxation.

The structure belongs to space group R-3m (No. 166, hexagonal axes); the cell edges are 7.5475, 7.5475 and 17.9908 Å and the angles 90.00°, 90.00° and 120.00°. The distinct sites, in fractional coordinates, are Rb at (0.0000, 0.0000, 0.1298), V at (0.0000, 0.0000, 0.5000), Cr at (0.0000, 0.5000, 0.0000), F at (0.0531, 0.5266, 0.1070) and F at (0.0767, 0.5383, 0.3518).

For the total magnetization, the calculation gives 6.91 μB per formula unit. As for the total energy: -5.78 eV per atom. The calculation puts the volume at 16.44 Å³ per atom.